DFT (GGA-PBEsol) results for Pm2RuRh after structural relaxation.

It has space group Fm-3m (No. 225), with a = 6.8824 Å, b = 6.8824 Å, c = 6.8824 Å, α = 90.00°, β = 90.00° and γ = 90.00°. The inequivalent atoms are Pm at (0.2500, 0.2500, 0.2500), Ru at (0.0000, 0.0000, 0.0000) and Rh at (0.0000, 0.0000, 0.5000).

As for the density of states at the Fermi level: 9.13 states/eV per cell. As for the density: 10.06 g cm⁻³. Its formation enthalpy at 0 K is -33.0 kJ/mol of atoms.

DFT (GGA-PBEsol) results for K2InPbSe after structural relaxation.

It has space group P4/mmm (No. 123), with a = 5.9133 Å, b = 5.9133 Å, c = 5.8210 Å, α = 90.00°, β = 90.00° and γ = 90.00°. The inequivalent atoms are K at (0.0000, 0.5000, 0.0000), In at (0.0000, 0.0000, 0.5000), Pb at (0.5000, 0.5000, 0.5000) and Se at (0.5000, 0.5000, 0.0000).

As for the density of states at the Fermi level: 4.08 states/eV per cell. As for the density: 3.91 g cm⁻³. The value obtained for the uncorrected formation energy is -0.61 eV per formula unit.

DFT (GGA-PBEsol) results for BeAuBr2 after structural relaxation.

It has space group Pm (No. 6), with a = 5.0846 Å, b = 3.2561 Å, c = 5.8780 Å, α = 90.00°, β = 106.27° and γ = 90.00°. The inequivalent atoms are Be at (0.0000, 0.0000, 0.0000), Au at (0.2896, 0.5000, 0.8736), Br at (0.6306, 0.0000, 0.7032) and Br at (0.9747, 0.5000, 0.2518).

As for the energy above the most stable polymorph in this dataset: 0.0 kJ per mole of atoms. As for the density of states at the Fermi level: 1.03 states/eV per cell. As for the density: 6.50 g cm⁻³. The value obtained for the uncorrected formation energy is -0.92 eV per formula unit.

DFT (GGA-PBEsol) results for SbTe2IrN after structural relaxation.

It has space group P4/mmm (No. 123), with a = 5.3206 Å, b = 5.3206 Å, c = 4.9801 Å, α = 90.00°, β = 90.00° and γ = 90.00°. The inequivalent atoms are Sb at (0.0000, 0.0000, 0.0000), Te at (0.0000, 0.5000, 0.5000), Ir at (0.0000, 0.0000, 0.5000) and N at (0.5000, 0.5000, 0.0000).

As for the density of states at the Fermi level: 5.33 states/eV per cell. As for the density: 6.87 g cm⁻³. The value obtained for the uncorrected formation energy is 7.64 eV per formula unit.

DFT (GGA-PBEsol) results for Li2ScAu after structural relaxation.

It has space group Fm-3m (No. 225), with a = 6.3039 Å, b = 6.3039 Å, c = 6.3039 Å, α = 90.00°, β = 90.00° and γ = 90.00°. The inequivalent atoms are Li at (0.2500, 0.2500, 0.2500), Sc at (0.0000, 0.0000, 0.0000) and Au at (0.0000, 0.0000, 0.5000).

As for the energy above the most stable polymorph in this dataset: 9.8 kJ per mole of atoms. As for the density of states at the Fermi level: 21.48 states/eV per cell. As for the density: 6.78 g cm⁻³. Its formation enthalpy at 0 K is -24.6 kJ/mol of atoms.

DFT (GGA-PBEsol) results for Ag2TeRu after structural relaxation.

It has space group Cmmm (No. 65), with a = 5.2913 Å, b = 8.7853 Å, c = 3.0543 Å, α = 90.00°, β = 90.00° and γ = 90.00°. The inequivalent atoms are Ag at (0.2500, 0.2500, 0.0000), Te at (0.0000, 0.0000, 0.5000) and Ru at (0.0000, 0.5000, 0.5000).

As for the density of states at the Fermi level: 7.71 states/eV per cell. As for the density: 10.40 g cm⁻³. The value obtained for the uncorrected formation energy is 2.10 eV per formula unit.

DFT (GGA-PBEsol) results for MnSeO2F after structural relaxation.

It has space group P4/mmm (No. 123), with a = 3.8394 Å, b = 3.8394 Å, c = 3.8082 Å, α = 90.00°, β = 90.00° and γ = 90.00°. The inequivalent atoms are Mn at (0.0000, 0.0000, 0.0000), Se at (0.5000, 0.5000, 0.5000), O at (0.0000, 0.5000, 0.0000) and F at (0.0000, 0.0000, 0.5000).

As for the density of states at the Fermi level: 2.67 states/eV per cell. As for the density: 5.47 g cm⁻³. The value obtained for the uncorrected formation energy is -3.72 eV per formula unit.

DFT (GGA-PBEsol) results for Zn3N2 after structural relaxation.

It has space group Ia-3 (No. 206), with a = 9.7037 Å, b = 9.7037 Å, c = 9.7037 Å, α = 90.00°, β = 90.00° and γ = 90.00°. The inequivalent atoms are Zn at (0.1001, 0.1488, 0.6226), N at (0.0000, 0.0000, 0.0000) and N at (0.0000, 0.2500, 0.2699).

As for the energy above the most stable polymorph in this dataset: 0.0 kJ per mole of atoms. As for the density of states at the Fermi level: 5.13 states/eV per cell. As for the density: 6.52 g cm⁻³. The value obtained for the uncorrected formation energy is 0.07 eV per formula unit.

DFT (GGA-PBEsol) results for TlIn2Hg after structural relaxation.

It has space group F-43m (No. 216), with a = 7.4175 Å, b = 7.4175 Å, c = 7.4175 Å, α = 90.00°, β = 90.00° and γ = 90.00°. The inequivalent atoms are Tl at (0.0000, 0.0000, 0.0000), In at (0.0000, 0.0000, 0.5000), In at (0.2500, 0.2500, 0.7500) and Hg at (0.2500, 0.2500, 0.2500).

As for the density of states at the Fermi level: 6.67 states/eV per cell. As for the density: 10.33 g cm⁻³. Its formation enthalpy at 0 K is 1.4 kJ/mol of atoms.

DFT (GGA-PBEsol) results for BaSc2Ta after structural relaxation.

It has space group P4mm (No. 99), with a = 3.1139 Å, b = 3.1139 Å, c = 10.5454 Å, α = 90.00°, β = 90.00° and γ = 90.00°. The inequivalent atoms are Ba at (0.0000, 0.0000, 0.0000), Sc at (0.0000, 0.0000, 0.5345), Sc at (0.5000, 0.5000, 0.2994) and Ta at (0.5000, 0.5000, 0.7241).

As for the density of states at the Fermi level: 5.77 states/eV per cell. As for the density: 6.63 g cm⁻³. Its formation enthalpy at 0 K is 49.8 kJ/mol of atoms.

DFT (GGA-PBEsol) results for InS2N after structural relaxation.

It has space group R-3m (No. 166, hexagonal axes), with a = 3.4300 Å, b = 3.4300 Å, c = 22.7250 Å, α = 90.00°, β = 90.00° and γ = 120.00°. The inequivalent atoms are In at (0.0000, 0.0000, 0.0000), S at (0.0000, 0.0000, 0.4320) and N at (0.0000, 0.0000, 0.5000).

As for the energy above the most stable polymorph in this dataset: 0.0 kJ per mole of atoms. As for the density of states at the Fermi level: 4.83 states/eV per cell. As for the density: 4.15 g cm⁻³. The value obtained for the uncorrected formation energy is 1.53 eV per formula unit.

DFT (GGA-PBEsol) results for SiGe3Ru after structural relaxation.

It has space group Pm-3m (No. 221), with a = 4.5896 Å, b = 4.5896 Å, c = 4.5896 Å, α = 90.00°, β = 90.00° and γ = 90.00°. The inequivalent atoms are Si at (0.0000, 0.0000, 0.0000), Ge at (0.0000, 0.0000, 0.5000) and Ru at (0.5000, 0.5000, 0.5000).

As for the density of states at the Fermi level: 6.01 states/eV per cell. As for the density: 5.96 g cm⁻³. The value obtained for the uncorrected formation energy is 5.99 eV per formula unit.